The following is a PBE calculation of an optimized crystal structure of NdGaNiPt2, from the Alexandria database.

Results
total DFT energy (no corrections) = -58.2 eV per cell
magnetic moment = 0.000 μB/atom
space-group type = Imm2, No. 44
calculated formation energy = -0.685 eV/atom

abc: 3.940 3.959 11.855
angles: 90.00 90.00 90.00
Positions (direct):
1 Nd 0.000 0.000 0.000
2 Nd 0.500 0.500 0.500
3 Ga 0.000 0.500 0.760
4 Ga 0.500 0.000 0.260
5 Ni 0.000 0.000 0.396
6 Ni 0.500 0.500 0.896
7 Pt 0.000 0.000 0.606
8 Pt 0.000 0.500 0.269
9 Pt 0.500 0.000 0.769
10 Pt 0.500 0.500 0.106



The following is a PBE calculation of an optimized crystal structure of Nd2Ga3Ni4Pt, from the Alexandria database.

Results
total DFT energy (no corrections) = -53.4 eV per cell
magnetic moment = 0.000 μB/atom
space-group type = P-4m2, No. 115
calculated formation energy = -0.560 eV/atom

abc: 4.103 4.103 10.217
angles: 90.00 90.00 90.00
Positions (direct):
1 Nd 0.000 0.500 0.249
2 Nd 0.500 0.000 0.751
3 Ga 0.000 0.000 0.000
4 Ga 0.000 0.500 0.622
5 Ga 0.500 0.000 0.378
6 Ni 0.000 0.000 0.500
7 Ni 0.000 0.500 0.856
8 Ni 0.500 0.000 0.144
9 Ni 0.500 0.500 0.500
10 Pt 0.500 0.500 0.000



The following is a PBE calculation of an optimized crystal structure of NdGa2Ni2Pt, from the Alexandria database.

Results
total DFT energy (no corrections) = -29.2 eV per cell
magnetic moment = 0.000 μB/atom
space-group type = P4/mmm, No. 123
calculated formation energy = -0.131 eV/atom

abc: 4.703 4.703 5.461
angles: 90.00 90.00 90.00
Positions (direct):
1 Nd 0.000 0.000 0.000
2 Ga 0.000 0.500 0.500
3 Ga 0.500 0.000 0.500
4 Ni 0.500 0.500 0.240
5 Ni 0.500 0.500 0.760
6 Pt 0.000 0.000 0.500



The following is a PBE calculation of an optimized crystal structure of Nd2PuGa3Ni4, from the Alexandria database.

Results
total DFT energy (no corrections) = -60.5 eV per cell
magnetic moment = 0.496 μB/atom
space-group type = P-4m2, No. 115
calculated formation energy = -0.440 eV/atom

abc: 4.279 4.279 10.064
angles: 90.00 90.00 90.00
Positions (direct):
1 Nd 0.000 0.500 0.229
2 Nd 0.500 0.000 0.771
3 Pu 0.000 0.000 0.500
4 Ga 0.000 0.500 0.885
5 Ga 0.500 0.000 0.115
6 Ga 0.500 0.500 0.500
7 Ni 0.000 0.000 0.000
8 Ni 0.000 0.500 0.648
9 Ni 0.500 0.000 0.352
10 Ni 0.500 0.500 0.000



The following is a PBE calculation of an optimized crystal structure of NdGa4NiRh2, from the Alexandria database.

Results
total DFT energy (no corrections) = -42.3 eV per cell
magnetic moment = 0.000 μB/atom
space-group type = R-3m, No. 166
calculated formation energy = -0.620 eV/atom

abc: 9.074 9.074 9.074
angles: 26.97 26.97 26.97
Positions (direct):
1 Nd 0.000 0.000 0.000
2 Ga 0.132 0.132 0.132
3 Ga 0.403 0.403 0.403
4 Ga 0.597 0.597 0.597
5 Ga 0.868 0.868 0.868
6 Ni 0.500 0.500 0.500
7 Rh 0.230 0.230 0.230
8 Rh 0.770 0.770 0.770



The following is a PBE calculation of an optimized crystal structure of NdGaNiRh, from the Alexandria database.

Results
total DFT energy (no corrections) = -44.7 eV per cell
magnetic moment = 0.000 μB/atom
space-group type = Amm2, No. 38
calculated formation energy = -0.355 eV/atom

abc: 4.399 3.385 9.743
angles: 90.00 90.00 90.00
Positions (direct):
1 Nd 0.000 0.000 0.000
2 Nd 0.000 0.500 0.500
3 Ga 0.500 0.000 0.354
4 Ga 0.500 0.500 0.854
5 Ni 0.000 0.000 0.261
6 Ni 0.000 0.500 0.761
7 Rh 0.500 0.000 0.653
8 Rh 0.500 0.500 0.153



The following is a PBE calculation of an optimized crystal structure of Nd2Ga4NiRh3, from the Alexandria database.

Results
total DFT energy (no corrections) = -56.7 eV per cell
magnetic moment = 0.000 μB/atom
space-group type = P-4m2, No. 115
calculated formation energy = -0.724 eV/atom

abc: 4.248 4.248 10.250
angles: 90.00 90.00 90.00
Positions (direct):
1 Nd 0.000 0.500 0.242
2 Nd 0.500 0.000 0.758
3 Ga 0.000 0.000 0.500
4 Ga 0.000 0.500 0.877
5 Ga 0.500 0.000 0.123
6 Ga 0.500 0.500 0.500
7 Ni 0.500 0.500 0.000
8 Rh 0.000 0.000 0.000
9 Rh 0.000 0.500 0.633
10 Rh 0.500 0.000 0.367



The following is a PBE calculation of an optimized crystal structure of Nd2Ga4Ni3Rh, from the Alexandria database.

Results
total DFT energy (no corrections) = -52.6 eV per cell
magnetic moment = 0.000 μB/atom
space-group type = P-4m2, No. 115
calculated formation energy = -0.625 eV/atom

abc: 4.193 4.193 9.941
angles: 90.00 90.00 90.00
Positions (direct):
1 Nd 0.000 0.500 0.248
2 Nd 0.500 0.000 0.752
3 Ga 0.000 0.000 0.000
4 Ga 0.000 0.500 0.633
5 Ga 0.500 0.000 0.367
6 Ga 0.500 0.500 0.000
7 Ni 0.000 0.500 0.874
8 Ni 0.500 0.000 0.126
9 Ni 0.500 0.500 0.500
10 Rh 0.000 0.000 0.500



The following is a PBE calculation of an optimized crystal structure of Nd2Ga3NiRh4, from the Alexandria database.

Results
total DFT energy (no corrections) = -60.6 eV per cell
magnetic moment = 0.000 μB/atom
space-group type = P-4m2, No. 115
calculated formation energy = -0.678 eV/atom

abc: 4.246 4.246 10.184
angles: 90.00 90.00 90.00
Positions (direct):
1 Nd 0.000 0.500 0.249
2 Nd 0.500 0.000 0.751
3 Ga 0.000 0.500 0.873
4 Ga 0.500 0.000 0.127
5 Ga 0.500 0.500 0.500
6 Ni 0.000 0.000 0.500
7 Rh 0.000 0.000 0.000
8 Rh 0.000 0.500 0.631
9 Rh 0.500 0.000 0.369
10 Rh 0.500 0.500 0.000



The following is a PBE calculation of an optimized crystal structure of Nd2Ga2NiRh5, from the Alexandria database.

Results
total DFT energy (no corrections) = -126.1 eV per cell
magnetic moment = 0.103 μB/atom
space-group type = P4/mbm, No. 127
calculated formation energy = -0.494 eV/atom

abc: 9.885 9.885 3.546
angles: 90.00 90.00 90.00
Positions (direct):
1 Nd 0.175 0.325 0.000
2 Nd 0.325 0.825 0.000
3 Nd 0.675 0.175 0.000
4 Nd 0.825 0.675 0.000
5 Ga 0.125 0.625 0.000
6 Ga 0.375 0.125 0.000
7 Ga 0.625 0.875 0.000
8 Ga 0.875 0.375 0.000
9 Ni 0.000 0.000 0.000
10 Ni 0.500 0.500 0.000
11 Rh 0.000 0.500 0.500
12 Rh 0.062 0.799 0.500
13 Rh 0.201 0.062 0.500
14 Rh 0.299 0.562 0.500
15 Rh 0.438 0.299 0.500
16 Rh 0.500 0.000 0.500
17 Rh 0.562 0.701 0.500
18 Rh 0.701 0.438 0.500
19 Rh 0.799 0.938 0.500
20 Rh 0.938 0.201 0.500



The following is a PBE calculation of an optimized crystal structure of NdGa5Ni2Ru, from the Alexandria database.

Results
total DFT energy (no corrections) = -43.1 eV per cell
magnetic moment = 0.000 μB/atom
space-group type = P4/mmm, No. 123
calculated formation energy = -0.265 eV/atom

abc: 4.628 4.628 7.123
angles: 90.00 90.00 90.00
Positions (direct):
1 Nd 0.000 0.000 0.000
2 Ga 0.000 0.500 0.310
3 Ga 0.000 0.500 0.690
4 Ga 0.500 0.000 0.310
5 Ga 0.500 0.000 0.690
6 Ga 0.500 0.500 0.000
7 Ni 0.500 0.500 0.324
8 Ni 0.500 0.500 0.676
9 Ru 0.000 0.000 0.500



The following is a PBE calculation of an optimized crystal structure of Nd2Ga4NiRu3, from the Alexandria database.

Results
total DFT energy (no corrections) = -59.6 eV per cell
magnetic moment = 0.000 μB/atom
space-group type = P-4m2, No. 115
calculated formation energy = -0.433 eV/atom

abc: 4.242 4.242 10.254
angles: 90.00 90.00 90.00
Positions (direct):
1 Nd 0.000 0.500 0.240
2 Nd 0.500 0.000 0.760
3 Ga 0.000 0.000 0.500
4 Ga 0.000 0.500 0.877
5 Ga 0.500 0.000 0.123
6 Ga 0.500 0.500 0.500
7 Ni 0.500 0.500 0.000
8 Ru 0.000 0.000 0.000
9 Ru 0.000 0.500 0.632
10 Ru 0.500 0.000 0.368



Repeat the tenth record exactly.
The following is a PBE calculation of an optimized crystal structure of Nd2Ga2NiRh5, from the Alexandria database.

Results
total DFT energy (no corrections) = -126.1 eV per cell
magnetic moment = 0.103 μB/atom
space-group type = P4/mbm, No. 127
calculated formation energy = -0.494 eV/atom

abc: 9.885 9.885 3.546
angles: 90.00 90.00 90.00
Positions (direct):
1 Nd 0.175 0.325 0.000
2 Nd 0.325 0.825 0.000
3 Nd 0.675 0.175 0.000
4 Nd 0.825 0.675 0.000
5 Ga 0.125 0.625 0.000
6 Ga 0.375 0.125 0.000
7 Ga 0.625 0.875 0.000
8 Ga 0.875 0.375 0.000
9 Ni 0.000 0.000 0.000
10 Ni 0.500 0.500 0.000
11 Rh 0.000 0.500 0.500
12 Rh 0.062 0.799 0.500
13 Rh 0.201 0.062 0.500
14 Rh 0.299 0.562 0.500
15 Rh 0.438 0.299 0.500
16 Rh 0.500 0.000 0.500
17 Rh 0.562 0.701 0.500
18 Rh 0.701 0.438 0.500
19 Rh 0.799 0.938 0.500
20 Rh 0.938 0.201 0.500